(1)
Material: PuUGeOs
Method: DFT, PBE-GGA
State: relaxed

a b c (Å): 4.8929 3.3568 5.0398
angles (deg): 90.00 109.08 90.00
Atoms (fractional coordinates):
Pu 0.0000 0.0000 0.0000
U 0.5014 0.0000 0.5005
Ge 0.5000 0.5000 0.0000
Os 0.0011 0.5000 0.4997

Properties
Space group: No. 6
Energy above the most stable polymorph in this dataset in meV/atom: 0
ΔH_f (0 K) in eV/atom: -0.17
ρ in Mg/m³: 15.81
M_tot in μB/cell: 6.74

(2)
Material: PuUGeOs
Method: DFT, PBE-GGA
State: relaxed

a b c (Å): 4.7589 4.7589 4.7589
angles (deg): 60.00 60.00 60.00
Atoms (fractional coordinates):
Pu 0.0000 0.0000 0.0000
U 0.7500 0.7500 0.7500
Ge 0.2500 0.2500 0.2500
Os 0.5000 0.5000 0.5000

Properties
Space group: No. 216
Energy above the most stable polymorph in this dataset in meV/atom: 61
ΔH_f (0 K) in eV/atom: -0.11
ρ in Mg/m³: 16.23
M_tot in μB/cell: 7.91

(3)
Material: RbGeOs3
Method: DFT, PBE-GGA
State: relaxed

a b c (Å): 4.8054 4.8054 4.8054
angles (deg): 90.00 90.00 90.00
Atoms (fractional coordinates):
Rb 0.0000 0.0000 0.0000
Ge 0.5000 0.5000 0.5000
Os 0.0000 0.0000 0.5000
Os 0.0000 0.5000 0.0000
Os 0.5000 0.0000 0.0000

Properties
Space group: No. 221
Energy above the most stable polymorph in this dataset in meV/atom: 2101
ΔH_f (0 K) in eV/atom: 4.06
ρ in Mg/m³: 10.91
M_tot in μB/cell: 2.76

(4)
Material: RbGe2Os2
Method: DFT, PBE-GGA
State: relaxed

a b c (Å): 7.9392 7.9392 2.8526
angles (deg): 90.00 90.00 90.00
Atoms (fractional coordinates):
Rb 0.0000 0.0000 0.0000
Rb 0.5000 0.5000 0.0000
Ge 0.1467 0.3533 0.5000
Ge 0.3533 0.8533 0.5000
Ge 0.6467 0.1467 0.5000
Ge 0.8533 0.6467 0.5000
Os 0.1327 0.6327 0.0000
Os 0.3673 0.1327 0.0000
Os 0.6327 0.8673 0.0000
Os 0.8673 0.3673 0.0000

Properties
Space group: No. 127
Energy above the most stable polymorph in this dataset in meV/atom: 126
ΔH_f (0 K) in eV/atom: 0.58
ρ in Mg/m³: 11.29
M_tot in μB/cell: 0.00

(5)
Material: RbGeOs2
Method: DFT, PBE-GGA
State: relaxed

a b c (Å): 9.3655 9.3655 9.3655
angles (deg): 149.86 149.86 43.15
Atoms (fractional coordinates):
Rb 0.0000 0.0000 0.0000
Rb 0.7500 0.2500 0.5000
Ge 0.2500 0.7500 0.5000
Ge 0.5000 0.5000 0.0000
Os 0.3315 0.1250 0.7065
Os 0.3750 0.6685 0.7935
Os 0.4185 0.6250 0.2935
Os 0.8750 0.5815 0.2065

Properties
Space group: No. 122
ΔH_f (0 K) in eV/atom: 1.08
ρ in Mg/m³: 8.66
M_tot in μB/cell: 0.00

(6)
Material: RbGeOs3
Method: DFT, PBE-GGA
State: relaxed

a b c (Å): 4.7367 4.7367 4.7367
angles (deg): 90.00 90.00 90.00
Atoms (fractional coordinates):
Rb 0.0000 0.0000 0.0000
Ge 0.5000 0.5000 0.5000
Os 0.0000 0.5000 0.5000
Os 0.5000 0.0000 0.5000
Os 0.5000 0.5000 0.0000

Properties
Space group: No. 221
Energy above the most stable polymorph in this dataset in meV/atom: 0
ΔH_f (0 K) in eV/atom: 1.96
ρ in Mg/m³: 11.39
M_tot in μB/cell: 2.43

(7)
Material: RbGe2Os2
Method: DFT, PBE-GGA
State: relaxed

a b c (Å): 5.8885 5.8885 5.8885
angles (deg): 134.53 134.53 66.25
Atoms (fractional coordinates):
Rb 0.0000 0.0000 0.0000
Ge 0.2500 0.7500 0.5000
Ge 0.7500 0.2500 0.5000
Os 0.3790 0.3790 0.0000
Os 0.6210 0.6210 0.0000

Properties
Space group: No. 139
Energy above the most stable polymorph in this dataset in meV/atom: 0
ΔH_f (0 K) in eV/atom: 0.45
ρ in Mg/m³: 9.94
M_tot in μB/cell: 0.00

(8)
Material: RbTaGeOs2
Method: DFT, PBE-GGA
State: relaxed

a b c (Å): 4.6302 4.6302 5.0797
angles (deg): 90.00 90.00 90.00
Atoms (fractional coordinates):
Rb 0.0000 0.0000 0.0000
Ta 0.5000 0.5000 0.0000
Ge 0.0000 0.0000 0.5000
Os 0.0000 0.5000 0.5000
Os 0.5000 0.0000 0.5000

Properties
Space group: No. 123
ΔH_f (0 K) in eV/atom: 2.13
ρ in Mg/m³: 10.97
M_tot in μB/cell: 0.00